Run w
Below is crystalline Tb3Dy5Tm at its relaxed geometry, with properties calculated at the PBE level.

V: 1287.2 Å³ per cell

Unit cell a=15.0619 b=11.3694 c=9.8319 alpha=90.00 beta=130.14 gamma=90.00
Space group C2/m (No. 12)
Inequivalent atoms, fractional coordinates:
Tb 0.0000 0.0000 0.0000 x2
Tb 0.0000 0.5000 0.5000 x2
Tb 0.0092 0.0000 0.3159 x4
Tb 0.0196 0.5000 0.8599 x4
Dy 0.0000 0.2429 0.5000 x4
Dy 0.1524 0.2481 0.2468 x8
Dy 0.2227 0.0000 0.7321 x4
Dy 0.2225 0.5000 0.5389 x4
Tm 0.2493 0.0000 0.1003 x4

=====

Run x
Below is crystalline Tb3Dy5Tm at its relaxed geometry, with properties calculated at the PBE level.

V: 1152.6 Å³ per cell

Unit cell a=16.3519 b=6.6555 c=11.2632 alpha=90.00 beta=109.90 gamma=90.00
Space group C2/c (No. 15)
Inequivalent atoms, fractional coordinates:
Tb 0.0000 0.0000 0.0000 x4
Tb 0.2363 0.3773 0.3561 x8
Dy 0.0000 0.3191 0.7500 x4
Dy 0.1078 0.4954 0.5455 x8
Dy 0.1748 0.1169 0.8691 x8
Tm 0.0000 0.2269 0.2500 x4

=====

Which structure wins on stability? run x wins.

=====

Run w
Below is crystalline Tb3Dy5Tm4 at its relaxed geometry, with properties calculated at the PBE level.

V: 370.0 Å³ per cell

Unit cell a=6.0965 b=7.0451 c=8.6149 alpha=90.02 beta=90.06 gamma=90.11
Space group P-1 (No. 2)
Inequivalent atoms, fractional coordinates:
Tb 0.0000 0.0000 0.0000 x1
Tb 0.1662 0.7490 0.6660 x2
Dy 0.0000 0.5000 0.0000 x1
Dy 0.3334 0.0003 0.3340 x2
Dy 0.4992 0.2509 0.9999 x2
Tm 0.1669 0.2507 0.6659 x2
Tm 0.3338 0.5002 0.3340 x2

=====

Run x
Below is crystalline Tb3Dy5Tm4 at its relaxed geometry, with properties calculated at the PBE level.

V: 759.7 Å³ per cell

Unit cell a=15.9183 b=5.8119 c=9.1784 alpha=90.00 beta=116.54 gamma=90.00
Space group C2/m (No. 12)
Inequivalent atoms, fractional coordinates:
Tb 0.0000 0.0000 0.0000 x2
Tb 0.2082 0.5000 0.2294 x4
Dy 0.0000 0.5000 0.0000 x2
Dy 0.0748 0.0000 0.6993 x4
Dy 0.1734 0.0000 0.3870 x4
Tm 0.0804 0.5000 0.4395 x4
Tm 0.2125 0.5000 0.8772 x4

=====

Which structure wins on stability? run w wins.

=====

Run w
Below is crystalline TbDy2Tm7 at its relaxed geometry, with properties calculated at the PBE level.

V: 302.7 Å³ per cell

Unit cell a=6.0524 b=7.0067 c=7.8138 alpha=77.18 beta=75.00 gamma=73.33
Space group P-1 (No. 2)
Inequivalent atoms, fractional coordinates:
Tb 0.0000 0.0000 0.0000 x1
Dy 0.2003 0.2999 0.6003 x2
Tm 0.0000 0.5000 0.0000 x1
Tm 0.2002 0.7997 0.6002 x2
Tm 0.3998 0.1001 0.1997 x2
Tm 0.4003 0.5997 0.2002 x2

=====

Run x
Below is crystalline TbDy2Tm7 at its relaxed geometry, with properties calculated at the PBE level.

V: 748.2 Å³ per cell

Unit cell a=8.6068 b=16.9500 c=5.1287 alpha=90.00 beta=90.00 gamma=90.00
Space group Cmmm (No. 65)
Inequivalent atoms, fractional coordinates:
Tb 0.0000 0.0000 0.0000 x2
Dy 0.0000 0.2992 0.5000 x4
Tm 0.0000 0.1964 0.0000 x4
Tm 0.0000 0.5000 0.5000 x2
Tm 0.1786 0.1090 0.5000 x8

=====

Which structure wins on stability? run w wins.

=====

Run w
Below is crystalline Tb12DyTm7 at its relaxed geometry, with properties calculated at the PBE level.

V: 1962.1 Å³ per cell

Unit cell a=18.5025 b=18.5025 c=6.6179 alpha=90.00 beta=90.00 gamma=120.00
Space group R-3 (No. 148, hexagonal axes)
Inequivalent atoms, fractional coordinates:
Tb 0.9995 0.2099 0.2133 x18
Tb 0.0066 0.4707 0.2407 x18
Dy 0.0000 0.0000 0.0000 x3
Tm 0.0000 0.0000 0.5000 x3
Tm 0.0089 0.8529 0.2853 x18

=====

Run x
Below is crystalline Tb12DyTm7 at its relaxed geometry, with properties calculated at the PBE level.

V: 1911.3 Å³ per cell

Unit cell a=12.7306 b=12.7306 c=13.6176 alpha=90.00 beta=90.00 gamma=120.00
Space group R-3 (No. 148, hexagonal axes)
Inequivalent atoms, fractional coordinates:
Tb 0.0000 0.4360 0.2504 x18
Tb 0.0686 0.8695 0.8457 x18
Dy 0.0000 0.0000 0.5000 x3
Tm 0.0000 0.0000 0.0000 x3
Tm 0.0687 0.1997 0.3493 x18

=====

Which structure wins on stability? run x wins.

=====

Run w
Below is crystalline Tb6Dy3Tm2 at its relaxed geometry, with properties calculated at the PBE level.

V: 729.7 Å³ per cell

Unit cell a=4.7011 b=4.7011 c=33.0158 alpha=90.00 beta=90.00 gamma=90.00
Space group I4/mmm (No. 139)
Inequivalent atoms, fractional coordinates:
Tb 0.0000 0.0000 0.1969 x4
Tb 0.0000 0.5000 0.1205 x8
Dy 0.0000 0.0000 0.3005 x4
Dy 0.0000 0.0000 0.5000 x2
Tm 0.0000 0.0000 0.0458 x4

=====

Run x
Below is crystalline Tb6Dy3Tm2 at its relaxed geometry, with properties calculated at the PBE level.

V: 1029.0 Å³ per cell

Unit cell a=3.5365 b=3.5365 c=95.0030 alpha=90.00 beta=90.00 gamma=120.00
Space group R-3m (No. 166, hexagonal axes)
Inequivalent atoms, fractional coordinates:
Tb 0.0000 0.0000 0.0913 x6
Tb 0.0000 0.0000 0.1820 x6
Tb 0.0000 0.0000 0.3638 x6
Dy 0.0000 0.0000 0.0000 x3
Dy 0.0000 0.0000 0.2725 x6
Tm 0.0000 0.0000 0.4547 x6

=====

Which structure wins on stability? run x wins.

=====

Run w
Below is crystalline TbDy4Tm2 at its relaxed geometry, with properties calculated at the PBE level.

V: 435.3 Å³ per cell

Unit cell a=6.1048 b=6.4715 c=11.4042 alpha=90.00 beta=104.97 gamma=90.00
Space group P2_1/m (No. 11)
Inequivalent atoms, fractional coordinates:
Tb 0.0221 0.2500 0.3527 x2
Dy 0.1591 0.2500 0.6540 x2
Dy 0.2935 0.7500 0.9333 x2
Dy 0.3544 0.5029 0.2124 x4
Tm 0.1432 0.2500 0.9401 x2
Tm 0.3941 0.7500 0.5020 x2

=====

Run x
Below is crystalline TbDy4Tm2 at its relaxed geometry, with properties calculated at the PBE level.

V: 216.9 Å³ per cell

Unit cell a=3.5531 b=3.5531 c=19.8404 alpha=90.00 beta=90.00 gamma=120.00
Space group P3m1 (No. 156)
Inequivalent atoms, fractional coordinates:
Tb 0.0000 0.0000 0.0000 x1
Dy 0.3333 0.6667 0.2896 x1
Dy 0.3333 0.6667 0.5724 x1
Dy 0.6667 0.3333 0.1448 x1
Dy 0.6667 0.3333 0.8564 x1
Tm 0.0000 0.0000 0.4315 x1
Tm 0.0000 0.0000 0.7147 x1

=====

Which structure wins on stability? run x wins.

=====

Run w
Below is crystalline Tb5Dy4Tm at its relaxed geometry, with properties calculated at the PBE level.

V: 317.2 Å³ per cell

Unit cell a=3.5420 b=6.7801 c=13.8089 alpha=82.23 beta=89.99 gamma=74.99
Space group P-1 (No. 2)
Inequivalent atoms, fractional coordinates:
Tb 0.0000 0.0000 0.0000 x1
Tb 0.0482 0.9169 0.3835 x2
Tb 0.3107 0.3751 0.4148 x2
Dy 0.3506 0.3277 0.7916 x2
Dy 0.4256 0.2032 0.1913 x2
Tm 0.0000 0.5000 0.0000 x1

=====

Run x
Below is crystalline Tb5Dy4Tm at its relaxed geometry, with properties calculated at the PBE level.

V: 651.1 Å³ per cell

Unit cell a=10.5307 b=10.5307 c=5.8711 alpha=90.00 beta=90.00 gamma=90.00
Space group I4mm (No. 107)
Inequivalent atoms, fractional coordinates:
Tb 0.0000 0.0000 0.0000 x2
Tb 0.1888 0.1888 0.2650 x8
Dy 0.0000 0.3238 0.7609 x8
Tm 0.0000 0.0000 0.5285 x2

=====

Which structure wins on stability? run w wins.

=====

Run w
Below is crystalline TbDy7Tm3 at its relaxed geometry, with properties calculated at the PBE level.

V: 361.1 Å³ per cell

Unit cell a=7.0036 b=7.0036 c=8.5003 alpha=90.00 beta=90.00 gamma=120.00
Space group P3m1 (No. 156)
Inequivalent atoms, fractional coordinates:
Tb 0.0000 0.0000 0.0000 x1
Dy 0.0026 0.5013 0.0057 x3
Dy 0.3308 0.1654 0.6690 x3
Dy 0.3333 0.6667 0.6746 x1
Tm 0.1668 0.3335 0.3375 x3

=====

Run x
Below is crystalline TbDy7Tm3 at its relaxed geometry, with properties calculated at the PBE level.

V: 349.0 Å³ per cell

Unit cell a=6.9109 b=5.4868 c=9.7981 alpha=90.00 beta=110.04 gamma=90.00
Space group P2/m (No. 10)
Inequivalent atoms, fractional coordinates:
Tb 0.0000 0.0000 0.0000 x1
Dy 0.0000 0.0000 0.5000 x1
Dy 0.1470 0.5000 0.7910 x2
Dy 0.3229 0.5000 0.1418 x2
Dy 0.4208 0.0000 0.3312 x2
Tm 0.2777 0.5000 0.4979 x2
Tm 0.5000 0.0000 0.0000 x1

=====

Which structure wins on stability? run x wins.

=====

Run w
Below is crystalline TbDy3Tm5 at its relaxed geometry, with properties calculated at the PBE level.

V: 1098.7 Å³ per cell

Unit cell a=14.8356 b=9.6046 c=8.8398 alpha=90.00 beta=119.27 gamma=90.00
Space group C2/c (No. 15)
Inequivalent atoms, fractional coordinates:
Tb 0.0000 0.0841 0.2500 x4
Dy 0.0840 0.2525 0.6682 x8
Dy 0.2500 0.2500 0.5000 x4
Tm 0.0000 0.4167 0.2500 x4
Tm 0.1664 0.0834 0.0821 x8
Tm 0.1670 0.4169 0.0838 x8

=====

Run x
Below is crystalline TbDy3Tm5 at its relaxed geometry, with properties calculated at the PBE level.

V: 1263.0 Å³ per cell

Unit cell a=15.0449 b=11.1975 c=9.8817 alpha=90.00 beta=130.65 gamma=90.00
Space group C2/m (No. 12)
Inequivalent atoms, fractional coordinates:
Tb 0.2496 0.0000 0.1009 x4
Dy 0.0000 0.0000 0.0000 x2
Dy 0.0000 0.5000 0.5000 x2
Dy 0.0097 0.0000 0.3109 x4
Dy 0.0226 0.5000 0.8654 x4
Tm 0.0000 0.2387 0.5000 x4
Tm 0.1520 0.2495 0.2507 x8
Tm 0.2189 0.0000 0.7280 x4
Tm 0.2225 0.5000 0.5364 x4

=====

Which structure wins on stability? run w wins.

=====

Run w
Below is crystalline TbDyTm6 at its relaxed geometry, with properties calculated at the PBE level.

V: 495.0 Å³ per cell

Unit cell a=6.4724 b=11.6947 c=6.5399 alpha=90.00 beta=90.08 gamma=90.00
Space group C2/m (No. 12)
Inequivalent atoms, fractional coordinates:
Tb 0.0000 0.0000 0.0000 x2
Dy 0.0000 0.0000 0.5000 x2
Tm 0.0085 0.5000 0.7501 x4
Tm 0.1790 0.2408 0.2501 x8

=====

Run x
Below is crystalline TbDyTm6 at its relaxed geometry, with properties calculated at the PBE level.

V: 241.4 Å³ per cell

Unit cell a=6.9909 b=6.9909 c=4.9395 alpha=90.00 beta=90.00 gamma=90.00
Space group P4/mmm (No. 123)
Inequivalent atoms, fractional coordinates:
Tb 0.0000 0.0000 0.0000 x1
Dy 0.5000 0.5000 0.0000 x1
Tm 0.0000 0.5000 0.0000 x2
Tm 0.2501 0.2501 0.5000 x4

=====

Which structure wins on stability? run x wins.